1.
LiZrIr | PBE | optimized geometry Values from VASP.

The structure in Quantum ESPRESSO input format:
```
&SYSTEM
  ibrav = 0, nat = 3, ntyp = 3
/
ATOMIC_SPECIES
Ir 192.22 Ir.upf
Li 6.94 Li.upf
Zr 91.22 Zr.upf
CELL_PARAMETERS angstrom
4.375 0.000 0.000
2.188 3.789 0.000
2.188 1.263 3.572
ATOMIC_POSITIONS crystal
Ir 0.250 0.250 0.250
Li 0.000 0.000 0.000
Zr 0.500 0.500 0.500
```

Calculated values
- E_form (meV/atom) = -268
- space-group type = No. 216
- crystal system = cubic
- ΔE to the lowest computed polymorph (eV per formula unit) = 0.39



2.
CaHoIn4 | PBE | optimized geometry Values from VASP.

The structure in Quantum ESPRESSO input format:
```
&SYSTEM
  ibrav = 0, nat = 6, ntyp = 3
/
ATOMIC_SPECIES
Ca 40.08 Ca.upf
Ho 164.93 Ho.upf
In 114.82 In.upf
CELL_PARAMETERS angstrom
3.619 0.000 0.009
0.000 4.978 0.000
-0.027 0.000 8.694
ATOMIC_POSITIONS crystal
Ca 0.500 0.000 0.000
Ho 0.500 0.500 0.500
In 0.018 0.000 0.664
In 0.987 0.500 0.831
In 0.982 0.000 0.336
In 0.013 0.500 0.169
```

Calculated values
- E_form (meV/atom) = -366
- space-group type = No. 10
- crystal system = monoclinic
- ΔE to the lowest computed polymorph (eV per formula unit) = 0.03



3.
Ba2NaBiSb | PBE | optimized geometry Values from VASP.

The structure in Quantum ESPRESSO input format:
```
&SYSTEM
  ibrav = 0, nat = 5, ntyp = 4
/
ATOMIC_SPECIES
Sb 121.76 Sb.upf
Na 22.99 Na.upf
Bi 208.98 Bi.upf
Ba 137.33 Ba.upf
CELL_PARAMETERS angstrom
6.631 0.000 0.000
0.000 6.102 0.000
0.000 0.000 6.631
ATOMIC_POSITIONS crystal
Sb 0.000 0.000 0.000
Na 0.500 0.500 0.500
Bi 0.000 0.500 0.000
Ba 0.000 0.000 0.500
Ba 0.500 0.000 0.000
```

Calculated values
- formation energy without anion corrections (eV/atom) = -0.253
- space-group type = No. 123
- crystal system = tetragonal



4.
Rb2TlRh2 | PBE | optimized geometry Values from VASP.

The structure in Quantum ESPRESSO input format:
```
&SYSTEM
  ibrav = 0, nat = 5, ntyp = 3
/
ATOMIC_SPECIES
Tl 204.38 Tl.upf
Rh 102.91 Rh.upf
Rb 85.47 Rb.upf
CELL_PARAMETERS angstrom
3.592 0.000 0.000
0.000 3.592 0.000
1.796 1.796 12.254
ATOMIC_POSITIONS crystal
Tl 0.000 0.000 0.000
Rh 0.750 0.250 0.500
Rh 0.250 0.750 0.500
Rb 0.370 0.370 0.260
Rb 0.630 0.630 0.740
```

Calculated values
- E_form (meV/atom) = 424
- space-group type = No. 139
- crystal system = tetragonal
- ΔE to the lowest computed polymorph (eV per formula unit) = 0.00



5.
HfTe2NO | PBE | optimized geometry Values from VASP.

The structure in Quantum ESPRESSO input format:
```
&SYSTEM
  ibrav = 0, nat = 5, ntyp = 4
/
ATOMIC_SPECIES
Te 127.60 Te.upf
Hf 178.49 Hf.upf
O 16.00 O.upf
N 14.01 N.upf
CELL_PARAMETERS angstrom
-0.101 1.945 5.279
2.419 -4.752 1.797
3.617 1.639 -0.535
ATOMIC_POSITIONS crystal
Te 0.000 0.500 0.000
Te 0.500 0.000 0.000
Hf 0.000 0.000 0.000
O 0.500 0.500 0.500
N 0.000 0.000 0.500
```

Calculated values
- formation energy without anion corrections (eV/atom) = 0.545
- space-group type = No. 123
- crystal system = tetragonal
- ΔE to the lowest computed polymorph (eV per formula unit) = 0.00



6.
Cs2Tl4InAu3 | PBE | optimized geometry Values from VASP.

The structure in Quantum ESPRESSO input format:
```
&SYSTEM
  ibrav = 0, nat = 10, ntyp = 4
/
ATOMIC_SPECIES
Cs 132.91 Cs.upf
Tl 204.38 Tl.upf
In 114.82 In.upf
Au 196.97 Au.upf
CELL_PARAMETERS angstrom
-1.522 4.880 -1.483
-2.073 -2.006 -4.473
-10.165 -1.531 5.397
ATOMIC_POSITIONS crystal
Cs 0.500 0.000 0.251
Cs 0.000 0.500 0.749
Tl 0.500 0.500 0.000
Tl 0.000 0.000 0.000
Tl 0.500 0.000 0.628
Tl 0.000 0.500 0.372
In 0.500 0.500 0.500
Au 0.000 0.000 0.500
Au 0.500 0.000 0.882
Au 0.000 0.500 0.118
```

Calculated values
- E_form (meV/atom) = -134
- space-group type = No. 115
- crystal system = tetragonal



| no. | density (g cm⁻³) | size of the total moment (μB per formula unit) |
| --- | --- | --- |
| 1 | 8.142 | 0.0 |
| 2 | 7.042 | 0.0 |
| 3 | 3.889 | 0.0 |
| 4 | 6.105 | 0.7 |
| 5 | 6.068 | 1.3 |
| 6 | 9.032 | 0.0 |